{
  "formula": "EuDyN",
  "functional": "PBE-GGA",
  "state": "optimized geometry",
  "lattice": [[3.3382, 0.0000, 0.0000], [0.0000, 3.3382, 0.0000], [-1.6691, -1.6691, 6.8748]],
  "species": ["Eu", "N", "Dy"],
  "fractional_positions": [[0.9597, 0.9597, 0.9195], [0.7861, 0.7861, 0.5721], [0.2542, 0.2542, 0.5084]],
  "total_energy_ry_per_atom": -0.61932,
  "spacegroup": "No. 107",
  "e_form_raw_kj_per_mol_atoms": -66.8
}



{
  "formula": "Eu2DyN",
  "functional": "PBE-GGA",
  "state": "optimized geometry",
  "lattice": [[3.5531, 0.0000, 0.0000], [1.7766, 3.0771, 0.0000], [1.7766, 1.0257, 9.9626]],
  "species": ["Eu", "Eu", "N", "Dy"],
  "fractional_positions": [[0.1196, 0.1196, 0.6412], [0.8804, 0.8804, 0.3588], [0.5000, 0.5000, 0.5000], [0.0000, 0.0000, 0.0000]],
  "total_energy_ry_per_atom": -0.64579,
  "spacegroup": "No. 166",
  "e_form_raw_kj_per_mol_atoms": -40.3
}



{
  "formula": "Eu2Dy4N",
  "functional": "PBE-GGA",
  "state": "optimized geometry",
  "lattice": [[-2.3726, -2.4969, -3.4789], [3.9823, 0.1757, -2.8420], [3.7706, -9.0861, 0.5053]],
  "species": ["Eu", "Eu", "N", "Dy", "Dy", "Dy", "Dy"],
  "fractional_positions": [[0.6725, 0.6725, 0.6550], [0.3275, 0.3275, 0.3450], [0.0000, 0.0000, 0.0000], [0.8757, 0.8757, 0.2486], [0.1243, 0.1243, 0.7514], [0.0000, 0.5000, 0.0000], [0.5000, 0.0000, 0.0000]],
  "total_energy_ry_per_atom": -0.51501,
  "spacegroup": "No. 139",
  "e_form_raw_kj_per_mol_atoms": -24.4
}



{
  "formula": "NaEuDy",
  "functional": "PBE-GGA",
  "state": "optimized geometry",
  "lattice": [[3.6530, 0.0000, 0.0000], [-1.8265, 3.1636, 0.0000], [0.0000, 0.0000, 9.3633]],
  "species": ["Eu", "Na", "Dy"],
  "fractional_positions": [[0.3333, 0.6667, 0.6537], [0.0000, 0.0000, 0.0076], [0.6667, 0.3333, 0.3387]],
  "ef_ev_per_atom": 0.16,
  "total_energy_ry_per_atom": -0.38501,
  "spacegroup": "No. 156"
}



{
  "formula": "NaEuDy",
  "functional": "PBE-GGA",
  "state": "optimized geometry",
  "lattice": [[-0.4910, -1.0666, -3.4084], [-3.3397, -1.0818, 0.8197], [-1.0251, 8.6713, -0.6595]],
  "species": ["Eu", "Na", "Dy"],
  "fractional_positions": [[0.6598, 0.6598, 0.3196], [0.3383, 0.3383, 0.6767], [0.0018, 0.0018, 0.0037]],
  "ef_ev_per_atom": 0.19,
  "total_energy_ry_per_atom": -0.38311,
  "spacegroup": "No. 107"
}



{
  "formula": "NaEuDySbO6",
  "functional": "PBE-GGA",
  "state": "optimized geometry",
  "lattice": [[-4.0815, 2.2397, 3.6245], [-2.9866, 4.8450, -1.5549], [-5.7186, -0.3822, -1.4012]],
  "species": ["Na", "Eu", "Dy", "Sb", "O", "O", "O", "O", "O", "O"],
  "fractional_positions": [[0.7500, 0.7500, 0.7500], [0.2500, 0.2500, 0.2500], [0.0000, 0.0000, 0.0000], [0.5000, 0.5000, 0.5000], [0.2628, 0.7372, 0.2628], [0.7372, 0.2628, 0.7372], [0.2628, 0.7372, 0.7372], [0.7372, 0.2628, 0.2628], [0.2628, 0.2628, 0.7372], [0.7372, 0.7372, 0.2628]],
  "total_energy_ry_per_atom": -0.53311,
  "spacegroup": "No. 216",
  "e_form_raw_kj_per_mol_atoms": -216.8
}



{
  "formula": "NaEuDySeO6",
  "functional": "PBE-GGA",
  "state": "optimized geometry",
  "lattice": [[4.0894, -1.4216, 3.7041], [-1.3470, -2.7013, 4.8325], [1.4330, -5.4699, 0.7008]],
  "species": ["Na", "Eu", "Dy", "Se", "O", "O", "O", "O", "O", "O"],
  "fractional_positions": [[0.7500, 0.7500, 0.7500], [0.2500, 0.2500, 0.2500], [0.0000, 0.0000, 0.0000], [0.5000, 0.5000, 0.5000], [0.2724, 0.7276, 0.2724], [0.7276, 0.2724, 0.7276], [0.2724, 0.7276, 0.7276], [0.7276, 0.2724, 0.2724], [0.2724, 0.2724, 0.7276], [0.7276, 0.7276, 0.2724]],
  "total_energy_ry_per_atom": -0.51052,
  "spacegroup": "No. 216",
  "e_form_raw_kj_per_mol_atoms": -193.3
}



Q: Which formula does entry 7 have?
A: NaEuDySeO6